No. 1
Here is V3PS after structural relaxation from the Alexandria database. Energies are from PBE-GGA.

Cell lengths 14.3149, 3.2602, 6.3763 Å; angles 90.00, 90.95, 90.00 degrees
Last column: nearest neighbours and their distance in Å.
Space group C2/m (No. 12)
Inequivalent atoms, fractional coordinates:
V  0.0310  0.0000  0.1856 x4  2 S 2.24, 2 P 2.32-2.46
V  0.1781  0.0000  0.5435 x4  2 S 2.29, 1 P 2.44, 1 V 2.56
V  0.2032  0.5000  0.1515 x4  1 S 2.30, 3 P 2.35-2.42, 1 V 2.56
P  0.1357  0.0000  0.9127 x4  6 V 2.32-2.46
S  0.0860  0.5000  0.3949 x4  5 V 2.24-2.30

Output
Polymorph energy (0 for the lowest one), meV per atom: 0
N(E_F), states/eV per atom: 0.6420
Magnetization, μB per cell: 0.000
Formation energy (no corrections), eV per atom: -0.4825

***

No. 2
Here is VP2S after structural relaxation from the Alexandria database. Energies are from PBE-GGA.

Cell lengths 5.4587, 5.4587, 10.5226 Å; angles 90.00, 90.00, 90.00 degrees
Last column: nearest neighbours and their distance in Å.
Space group I-42d (No. 122)
Inequivalent atoms, fractional coordinates:
V  0.0000  0.0000  0.0000 x4  4 P 2.27
P  0.2303  0.2500  0.1250 x8  2 V 2.27, 2 S 2.40
S  0.0000  0.0000  0.5000 x4  4 P 2.40

Output
N(E_F), states/eV per atom: 0.9249
Magnetization, μB per cell: 0.007
Formation energy (no corrections), eV per atom: 0.3104

***

No. 3
Here is VP3S9 after structural relaxation from the Alexandria database. Energies are from PBE-GGA.

Cell lengths 16.4680, 7.8193, 11.5397 Å; angles 90.00, 129.10, 90.00 degrees
Last column: nearest neighbours and their distance in Å.
Space group Cc (No. 9)
Inequivalent atoms, fractional coordinates:
V  0.0000  0.2409  0.0000 x4  6 S 2.35-2.59
P  0.1424  0.0950  0.8344 x4  4 S 2.03-2.12
P  0.2417  0.4309  0.7313 x4  4 S 2.02-2.16
P  0.3674  0.0803  0.6842 x4  4 S 2.00-2.15
S  0.0157  0.0916  0.8287 x4  1 P 2.05
S  0.1244  0.3411  0.7433 x4  2 P 2.12-2.14
S  0.1528  0.1009  0.2295 x4  1 P 2.03
S  0.1548  0.3944  0.0654 x4  1 P 2.03
S  0.2417  0.2617  0.5835 x4  2 P 2.15-2.16
S  0.2958  0.1352  0.0360 x4  2 P 2.12-2.15
S  0.3725  0.4995  0.4359 x4  1 P 2.02
S  0.3985  0.0130  0.3763 x4  1 P 2.07
S  0.4906  0.1723  0.7077 x4  1 P 2.00

Output
N(E_F), states/eV per atom: 0.2040
Magnetization, μB per cell: 8.000
Formation energy (no corrections), eV per atom: -0.1563